# 1
Compound: CuMoRh2
Source: Alexandria
Functional: PBE
Structure: relaxed

Properties
Symmetry: P4/mmm
Energy relative to the lowest polymorph listed for this composition (eV/atom): 0.039
Total moment (μB per cell): 0.00
ΔE_f (eV/atom): -0.096
Calculated total energy (eV per atom): -7.503

Cell lengths 2.8072, 2.8072, 7.1859 Å; angles 90.00, 90.00, 90.00 degrees
Fractional coordinates of all 4 atoms:
Cu (0.0000, 0.0000, 0.0000)
Mo (0.0000, 0.0000, 0.5000)
Rh (0.5000, 0.5000, 0.2457)
Rh (0.5000, 0.5000, 0.7543)

=====

# 2
Compound: Sm2Y3HoBi6
Source: Alexandria
Functional: PBE
Structure: relaxed

Properties
Symmetry: C2/m
Total moment (μB per cell): 0.00
ΔE_f (eV/atom): -0.895
Calculated total energy (eV per atom): -5.620

Cell lengths 7.8064, 7.8064, 7.7976 Å; angles 99.60, 99.60, 120.01 degrees
Fractional coordinates of all 12 atoms:
Sm (0.1659, 0.8341, 0.0000)
Sm (0.8341, 0.1659, 0.0000)
Y (0.0000, 0.0000, 0.5000)
Y (0.3315, 0.6685, 0.5000)
Y (0.6685, 0.3315, 0.5000)
Ho (0.5000, 0.5000, 0.0000)
Bi (0.0865, 0.4163, 0.7480)
Bi (0.2554, 0.2554, 0.2539)
Bi (0.4163, 0.0865, 0.7480)
Bi (0.5837, 0.9135, 0.2520)
Bi (0.7446, 0.7446, 0.7461)
Bi (0.9135, 0.5837, 0.2520)

=====

# 3
Compound: Mg2TeRh4
Source: Alexandria
Functional: PBE
Structure: relaxed

Properties
Symmetry: I4/mmm
Formation energy (no corrections) (eV per atom): -0.226
Total moment (μB per cell): 0.00
Calculated total energy (eV per atom): -5.332

Cell lengths 5.3305, 5.3305, 5.3305 Å; angles 108.96, 108.96, 110.50 degrees
Fractional coordinates of all 7 atoms:
Mg (0.0000, 0.5000, 0.5000)
Mg (0.5000, 0.0000, 0.5000)
Te (0.0000, 0.0000, 0.0000)
Rh (0.0000, 0.0000, 0.5000)
Rh (0.0000, 0.5000, 0.0000)
Rh (0.5000, 0.0000, 0.0000)
Rh (0.5000, 0.5000, 0.5000)

=====

# 4
Compound: Zr2BeAl
Source: Alexandria
Functional: PBE
Structure: relaxed

Properties
Symmetry: Pmm2
Energy relative to the lowest polymorph listed for this composition (eV/atom): 0.333
Total moment (μB per cell): 0.00
ΔE_f (eV/atom): 0.091
Calculated total energy (eV per atom): -6.050

Cell lengths 3.1460, 4.1097, 5.7892 Å; angles 90.00, 90.00, 90.00 degrees
Fractional coordinates of all 4 atoms:
Zr (0.0000, 0.0000, 0.0000)
Zr (0.5000, 0.5000, 0.2789)
Be (0.5000, 0.5000, 0.7805)
Al (0.0000, 0.0000, 0.5159)

=====

# 5
Compound: BeInSe
Source: Alexandria
Functional: PBE
Structure: relaxed

Properties
Symmetry: F-43m
Energy relative to the lowest polymorph listed for this composition (eV/atom): 0.898
Formation energy (no corrections) (eV per atom): 0.647
Total moment (μB per cell): 0.00
Calculated total energy (eV per atom): -2.669

Cell lengths 4.6682, 4.6682, 4.6682 Å; angles 60.00, 60.00, 60.00 degrees
Fractional coordinates of all 3 atoms:
Be (0.0000, 0.0000, 0.0000)
In (0.7500, 0.7500, 0.7500)
Se (0.5000, 0.5000, 0.5000)